1.
Computed, not measured: a geometry-optimized Li2YSnS4 structure at the PBE-GGA level of DFT.

CIF file:
```
data_Li2YSnS4
_cell_length_a 6.585
_cell_length_b 3.857
_cell_length_c 6.791
_cell_angle_alpha 90.00
_cell_angle_beta 110.23
_cell_angle_gamma 90.00
_space_group_name_H-M_alt 'P 1 2/m 1'
_space_group_IT_number 10
loop_
_space_group_symop_operation_xyz
'x,y,z'
'-x,-y,-z'
'-x,y,-z'
'x,-y,z'
loop_
_atom_site_label
_atom_site_type_symbol
_atom_site_fract_x
_atom_site_fract_y
_atom_site_fract_z
Li1 Li 0.000 0.000 0.000
Li2 Li 0.000 0.500 0.500
Y1 Y 0.500 0.000 0.500
Sn1 Sn 0.500 0.500 0.000
S1 S 0.245 0.000 0.747
S2 S 0.249 0.500 0.245
```

Calculated values
uncorrected formation energy	-984.0	kJ/mol of formula units



2.
Computed, not measured: a geometry-optimized Sr8Ga2Hg structure at the PBE-GGA level of DFT.

CIF file:
```
data_Sr8Ga2Hg
_cell_length_a 10.019
_cell_length_b 14.770
_cell_length_c 6.612
_cell_angle_alpha 90.00
_cell_angle_beta 107.64
_cell_angle_gamma 90.00
_space_group_name_H-M_alt 'C 1 m 1'
_space_group_IT_number 8
loop_
_space_group_symop_operation_xyz
'x,y,z'
'x,-y,z'
'x+1/2,y+1/2,z'
'x+1/2,-y+1/2,z'
loop_
_atom_site_label
_atom_site_type_symbol
_atom_site_fract_x
_atom_site_fract_y
_atom_site_fract_z
Sr1 Sr 0.000 0.000 0.000
Sr2 Sr 0.069 0.368 0.783
Sr3 Sr 0.163 0.133 0.594
Sr4 Sr 0.233 0.500 0.395
Sr5 Sr 0.364 0.223 0.192
Ga1 Ga 0.370 0.314 0.701
Hg1 Hg 0.364 0.000 0.350
```

Calculated values
ΔE to the lowest computed polymorph	0.57	eV per formula unit
formation energy from the elements	-0.194	eV/atom



3.
Computed, not measured: a geometry-optimized RbAgSnCl6 structure at the PBE-GGA level of DFT.

CIF file:
```
data_RbAgSnCl6
_cell_length_a 6.9702
_cell_length_b 6.9702
_cell_length_c 14.1440
_cell_angle_alpha 90.00
_cell_angle_beta 90.00
_cell_angle_gamma 120.00
_space_group_name_H-M_alt 'P -3 1 c'
_space_group_IT_number 163
_space_group_name_Hall '-P 3 2c'
loop_
_atom_site_label
_atom_site_type_symbol
_atom_site_fract_x
_atom_site_fract_y
_atom_site_fract_z
Rb1 Rb 0.0000 0.0000 0.0000
Ag1 Ag 0.3333 0.6667 0.2500
Sn1 Sn 0.3333 0.6667 0.7500
Cl1 Cl 0.0332 0.3881 0.6481
```

Calculated values
uncorrected formation energy	-945.7	kJ/mol of formula units



4.
Computed, not measured: a geometry-optimized Sr2Mg2Zn3 structure at the PBE-GGA level of DFT.

CIF file:
```
data_Sr2Mg2Zn3
_cell_length_a 9.413
_cell_length_b 5.315
_cell_length_c 8.464
_cell_angle_alpha 90.00
_cell_angle_beta 121.39
_cell_angle_gamma 90.00
_space_group_name_H-M_alt 'C 1 2/m 1'
_space_group_IT_number 12
loop_
_space_group_symop_operation_xyz
'x,y,z'
'-x,-y,-z'
'-x,y,-z'
'x,-y,z'
'x+1/2,y+1/2,z'
'-x+1/2,-y+1/2,-z'
'-x+1/2,y+1/2,-z'
'x+1/2,-y+1/2,z'
loop_
_atom_site_label
_atom_site_type_symbol
_atom_site_fract_x
_atom_site_fract_y
_atom_site_fract_z
Sr1 Sr 0.243 0.000 0.161
Mg1 Mg 0.178 0.500 0.379
Zn1 Zn 0.000 0.500 0.000
Zn2 Zn 0.014 0.000 0.667
```

Calculated values
formation energy from the elements	-0.121	eV/atom



5.
Computed, not measured: a geometry-optimized Tm4Ge2Sb structure at the PBE-GGA level of DFT.

CIF file:
```
data_Tm4Ge2Sb
_cell_length_a 8.896
_cell_length_b 8.896
_cell_length_c 8.729
_cell_angle_alpha 90.00
_cell_angle_beta 90.00
_cell_angle_gamma 90.00
_space_group_name_H-M_alt 'I -4 2 d'
_space_group_IT_number 122
_space_group_name_Hall 'I -4 2bw'
loop_
_atom_site_label
_atom_site_type_symbol
_atom_site_fract_x
_atom_site_fract_y
_atom_site_fract_z
Tm1 Tm 0.070 0.675 0.435
Ge1 Ge 0.133 0.750 0.125
Sb1 Sb 0.000 0.000 0.500
```

Calculated values
uncorrected formation energy	-580.0	kJ/mol of formula units



6.
Computed, not measured: a geometry-optimized TmZrInIr structure at the PBE-GGA level of DFT.

CIF file:
```
data_TmZrInIr
_cell_length_a 6.958
_cell_length_b 6.958
_cell_length_c 6.958
_cell_angle_alpha 90.00
_cell_angle_beta 90.00
_cell_angle_gamma 90.00
_space_group_name_H-M_alt 'F -4 3 m'
_space_group_IT_number 216
_space_group_name_Hall 'F -4 2 3'
loop_
_atom_site_label
_atom_site_type_symbol
_atom_site_fract_x
_atom_site_fract_y
_atom_site_fract_z
Tm1 Tm 0.000 0.000 0.000
Zr1 Zr 0.000 0.000 0.500
In1 In 0.250 0.250 0.250
Ir1 Ir 0.250 0.250 0.750
```

Calculated values
formation energy from the elements	-0.447	eV/atom



7.
Computed, not measured: a geometry-optimized CsInSnHg2 structure at the PBE-GGA level of DFT.

CIF file:
```
data_CsInSnHg2
_cell_length_a 5.904
_cell_length_b 5.904
_cell_length_c 5.787
_cell_angle_alpha 90.00
_cell_angle_beta 90.00
_cell_angle_gamma 90.00
_space_group_name_H-M_alt 'P 4/m m m'
_space_group_IT_number 123
_space_group_name_Hall '-P 4 2'
loop_
_atom_site_label
_atom_site_type_symbol
_atom_site_fract_x
_atom_site_fract_y
_atom_site_fract_z
Cs1 Cs 0.000 0.000 0.000
In1 In 0.500 0.500 0.500
Sn1 Sn 0.500 0.500 0.000
Hg1 Hg 0.000 0.500 0.500
```

Calculated values
ΔE to the lowest computed polymorph	0.17	eV per formula unit
formation energy from the elements	0.023	eV/atom



8.
Computed, not measured: a geometry-optimized Tm8Tl2In structure at the PBE-GGA level of DFT.

CIF file:
```
data_Tm8Tl2In
_cell_length_a 8.734
_cell_length_b 14.665
_cell_length_c 5.472
_cell_angle_alpha 90.00
_cell_angle_beta 113.09
_cell_angle_gamma 90.00
_space_group_name_H-M_alt 'C 1 2/m 1'
_space_group_IT_number 12
loop_
_space_group_symop_operation_xyz
'x,y,z'
'-x,-y,-z'
'-x,y,-z'
'x,-y,z'
'x+1/2,y+1/2,z'
'-x+1/2,-y+1/2,-z'
'-x+1/2,y+1/2,-z'
'x+1/2,-y+1/2,z'
loop_
_atom_site_label
_atom_site_type_symbol
_atom_site_fract_x
_atom_site_fract_y
_atom_site_fract_z
Tm1 Tm 0.000 0.215 0.000
Tm2 Tm 0.103 0.500 0.800
Tm3 Tm 0.214 0.115 0.621
Tl1 Tl 0.000 0.304 0.500
In1 In 0.000 0.000 0.000
```

Calculated values
ΔE to the lowest computed polymorph	0.52	eV per formula unit
formation energy from the elements	-0.082	eV/atom



9.
Computed, not measured: a geometry-optimized La4Pr5Ho structure at the PBE-GGA level of DFT.

CIF file:
```
data_La4Pr5Ho
_cell_length_a 3.717
_cell_length_b 3.717
_cell_length_c 26.163
_cell_angle_alpha 90.00
_cell_angle_beta 90.00
_cell_angle_gamma 90.00
_space_group_name_H-M_alt 'P 4/m m m'
_space_group_IT_number 123
_space_group_name_Hall '-P 4 2'
loop_
_atom_site_label
_atom_site_type_symbol
_atom_site_fract_x
_atom_site_fract_y
_atom_site_fract_z
La1 La 0.000 0.000 0.101
La2 La 0.000 0.000 0.303
Pr1 Pr 0.500 0.500 0.000
Pr2 Pr 0.500 0.500 0.202
Pr3 Pr 0.500 0.500 0.405
Ho1 Ho 0.000 0.000 0.500
```

Calculated values
ΔE to the lowest computed polymorph	0.00	eV per formula unit
formation energy from the elements	0.020	eV/atom



10.
Computed, not measured: a geometry-optimized LiPbAu2 structure at the PBE-GGA level of DFT.

CIF file:
```
data_LiPbAu2
_cell_length_a 3.343
_cell_length_b 3.516
_cell_length_c 6.797
_cell_angle_alpha 90.00
_cell_angle_beta 90.27
_cell_angle_gamma 90.00
_space_group_name_H-M_alt 'P 1 2/m 1'
_space_group_IT_number 10
loop_
_space_group_symop_operation_xyz
'x,y,z'
'-x,-y,-z'
'-x,y,-z'
'x,-y,z'
loop_
_atom_site_label
_atom_site_type_symbol
_atom_site_fract_x
_atom_site_fract_y
_atom_site_fract_z
Li1 Li 0.000 0.000 0.000
Pb1 Pb 0.000 0.000 0.500
Au1 Au 0.499 0.500 0.794
```

Calculated values
formation energy from the elements	-0.296	eV/atom



11.
Computed, not measured: a geometry-optimized NiMo2Au structure at the PBE-GGA level of DFT.

CIF file:
```
data_NiMo2Au
_cell_length_a 3.238
_cell_length_b 3.238
_cell_length_c 5.816
_cell_angle_alpha 90.00
_cell_angle_beta 90.00
_cell_angle_gamma 90.00
_space_group_name_H-M_alt 'P 4 m m'
_space_group_IT_number 99
loop_
_space_group_symop_operation_xyz
'x,y,z'
'-y,x,z'
'-x,-y,z'
'y,-x,z'
'-x,y,z'
'y,x,z'
'x,-y,z'
'-y,-x,z'
loop_
_atom_site_label
_atom_site_type_symbol
_atom_site_fract_x
_atom_site_fract_y
_atom_site_fract_z
Ni1 Ni 0.000 0.000 0.000
Mo1 Mo 0.000 0.000 0.532
Mo2 Mo 0.500 0.500 0.768
Au1 Au 0.500 0.500 0.241
```

Calculated values
ΔE to the lowest computed polymorph	0.10	eV per formula unit
formation energy from the elements	0.138	eV/atom



12.
Computed, not measured: a geometry-optimized RbNi2Pb structure at the PBE-GGA level of DFT.

CIF file:
```
data_RbNi2Pb
_cell_length_a 7.948
_cell_length_b 7.948
_cell_length_c 7.240
_cell_angle_alpha 90.00
_cell_angle_beta 90.00
_cell_angle_gamma 90.00
_space_group_name_H-M_alt 'I -4 2 d'
_space_group_IT_number 122
_space_group_name_Hall 'I -4 2bw'
loop_
_atom_site_label
_atom_site_type_symbol
_atom_site_fract_x
_atom_site_fract_y
_atom_site_fract_z
Rb1 Rb 0.000 0.000 0.000
Ni1 Ni 0.160 0.250 0.625
Pb1 Pb 0.000 0.000 0.500
```

Calculated values
formation energy from the elements	0.764	eV/atom



no.,E (eV per cell),ρ (g cm⁻³)
1,-41.00,3.6
2,-43.89,3.7
3,-57.41,2.9
4,-22.45,3.9
5,-149.02,9.1
6,-105.62,11.2
7,-8.08,6.3
8,-88.30,9.7
9,-47.98,6.5
10,-13.36,12.6
11,-30.17,12.2
12,-52.73,6.0